Material: PmYSnTe
Method: DFT, GGA-PBE
State: optimized geometry

Computed properties:
Uncorrected formation energy: -1.094 eV/atom
Space-group type: R3m, No. 160
Density of states at the Fermi level: 0.33 states/eV/atom
V: 31.2 A^3/atom
Magnetization: 0.00 μB/cell

a b c (Å): 7.742 7.742 7.742
angles (deg): 33.34 33.34 33.34
Atoms (fractional coordinates):
1 Pm 0.000 0.000 0.000
2 Y 0.508 0.508 0.508
3 Sn 0.252 0.252 0.252
4 Te 0.756 0.756 0.756


Material: PmTh3Sn5
Method: DFT, GGA-PBE
State: optimized geometry

Computed properties:
Energy relative to the elements: -0.5658 eV per atom
Space-group type: P6_3/mcm, No. 193
Density of states at the Fermi level: 1.04 states/eV/atom
V: 28.9 A^3/atom
Magnetization: 0.00 μB/cell

a b c (Å): 9.643 9.643 6.451
angles (deg): 90.00 90.00 120.00
Atoms (fractional coordinates):
1 Pm 0.000 0.000 0.000
2 Pm 0.000 0.000 0.500
3 Th 0.000 0.383 0.250
4 Th 0.000 0.617 0.750
5 Th 0.383 0.000 0.250
6 Th 0.383 0.383 0.750
7 Th 0.617 0.000 0.750
8 Th 0.617 0.617 0.250
9 Sn 0.000 0.284 0.750
10 Sn 0.000 0.716 0.250
11 Sn 0.284 0.000 0.750
12 Sn 0.284 0.284 0.250
13 Sn 0.333 0.667 0.000
14 Sn 0.333 0.667 0.500
15 Sn 0.667 0.333 0.000
16 Sn 0.667 0.333 0.500
17 Sn 0.716 0.000 0.250
18 Sn 0.716 0.716 0.750


Material: PmTh4Sn4
Method: DFT, GGA-PBE
State: optimized geometry

Computed properties:
Energy relative to the elements: -0.3128 eV per atom
Space-group type: I4/m, No. 87
Density of states at the Fermi level: 0.78 states/eV/atom
V: 34.8 A^3/atom
Magnetization: 0.00 μB/cell

a b c (Å): 7.709 7.709 7.709
angles (deg): 99.74 99.74 131.42
Atoms (fractional coordinates):
1 Pm 0.000 0.000 0.000
2 Th 0.207 0.600 0.808
3 Th 0.400 0.207 0.607
4 Th 0.600 0.793 0.393
5 Th 0.793 0.400 0.192
6 Sn 0.094 0.301 0.395
7 Sn 0.301 0.906 0.206
8 Sn 0.699 0.094 0.794
9 Sn 0.906 0.699 0.605


Material: Pm2ThSn3
Method: DFT, GGA-PBE
State: optimized geometry

Computed properties:
Energy relative to the elements: -0.5422 eV per atom
Space-group type: C2/c, No. 15
Density of states at the Fermi level: 0.84 states/eV/atom
V: 32.4 A^3/atom
Magnetization: 0.00 μB/cell

a b c (Å): 7.845 7.845 7.772
angles (deg): 99.71 99.71 120.27
Atoms (fractional coordinates):
1 Pm 0.084 0.916 0.750
2 Pm 0.250 0.750 0.250
3 Pm 0.750 0.250 0.750
4 Pm 0.916 0.084 0.250
5 Th 0.417 0.583 0.750
6 Th 0.583 0.417 0.250
7 Sn 0.000 0.500 0.500
8 Sn 0.165 0.332 0.999
9 Sn 0.332 0.165 0.499
10 Sn 0.500 0.000 0.000
11 Sn 0.668 0.835 0.501
12 Sn 0.835 0.668 0.001


Material: Pm3Th2Sn3
Method: DFT, GGA-PBE
State: optimized geometry

Computed properties:
Energy relative to the elements: -0.6126 eV per atom
Space-group type: P6_3/mcm, No. 193
Density of states at the Fermi level: 1.30 states/eV/atom
V: 31.3 A^3/atom
Magnetization: 0.76 μB/cell

a b c (Å): 9.379 9.379 6.564
angles (deg): 90.00 90.00 120.00
Atoms (fractional coordinates):
1 Pm 0.000 0.248 0.250
2 Pm 0.000 0.752 0.750
3 Pm 0.248 0.000 0.250
4 Pm 0.248 0.248 0.750
5 Pm 0.752 0.000 0.750
6 Pm 0.752 0.752 0.250
7 Th 0.333 0.667 0.000
8 Th 0.333 0.667 0.500
9 Th 0.667 0.333 0.000
10 Th 0.667 0.333 0.500
11 Sn 0.000 0.387 0.750
12 Sn 0.000 0.613 0.250
13 Sn 0.387 0.000 0.750
14 Sn 0.387 0.387 0.250
15 Sn 0.613 0.000 0.250
16 Sn 0.613 0.613 0.750


Material: PmThSn2
Method: DFT, GGA-PBE
State: optimized geometry

Computed properties:
Energy relative to the elements: -0.3998 eV per atom
Space-group type: R-3m, No. 166
Density of states at the Fermi level: 0.69 states/eV/atom
V: 29.3 A^3/atom
Magnetization: 0.00 μB/cell

a b c (Å): 10.782 10.782 10.782
angles (deg): 19.09 19.09 19.09
Atoms (fractional coordinates):
1 Pm 0.000 0.000 0.000
2 Th 0.500 0.500 0.500
3 Sn 0.251 0.251 0.251
4 Sn 0.749 0.749 0.749


Material: PmThSn6
Method: DFT, GGA-PBE
State: optimized geometry

Computed properties:
Energy relative to the elements: -0.4670 eV per atom
Space-group type: P4/mmm, No. 123
Density of states at the Fermi level: 0.50 states/eV/atom
V: 26.8 A^3/atom
Magnetization: 0.00 μB/cell

a b c (Å): 4.753 4.753 9.501
angles (deg): 90.00 90.00 90.00
Atoms (fractional coordinates):
1 Pm 0.000 0.000 0.000
2 Th 0.000 0.000 0.500
3 Sn 0.000 0.500 0.249
4 Sn 0.000 0.500 0.751
5 Sn 0.500 0.000 0.249
6 Sn 0.500 0.000 0.751
7 Sn 0.500 0.500 0.000
8 Sn 0.500 0.500 0.500


Material: Pm2Th2Sn7
Method: DFT, GGA-PBE
State: optimized geometry

Computed properties:
Energy relative to the elements: -0.0996 eV per atom
Space-group type: Cmmm, No. 65
Density of states at the Fermi level: 0.81 states/eV/atom
V: 33.4 A^3/atom
Magnetization: 0.00 μB/cell

a b c (Å): 7.426 7.426 6.783
angles (deg): 90.00 90.00 100.50
Atoms (fractional coordinates):
1 Pm 0.231 0.769 0.000
2 Pm 0.769 0.231 0.000
3 Th 0.312 0.312 0.500
4 Th 0.688 0.688 0.500
5 Sn 0.000 0.000 0.286
6 Sn 0.000 0.000 0.714
7 Sn 0.000 0.500 0.291
8 Sn 0.000 0.500 0.709
9 Sn 0.500 0.000 0.291
10 Sn 0.500 0.000 0.709
11 Sn 0.500 0.500 0.000


Material: Pm12ThSn6
Method: DFT, GGA-PBE
State: optimized geometry

Computed properties:
Energy relative to the elements: -0.2779 eV per atom
Space-group type: R-3, No. 148
Density of states at the Fermi level: 1.16 states/eV/atom
V: 32.9 A^3/atom
Magnetization: 0.00 μB/cell

a b c (Å): 9.139 9.139 9.139
angles (deg): 107.58 107.58 107.58
Atoms (fractional coordinates):
1 Pm 0.030 0.892 0.337
2 Pm 0.084 0.339 0.428
3 Pm 0.108 0.663 0.970
4 Pm 0.337 0.030 0.892
5 Pm 0.339 0.428 0.084
6 Pm 0.428 0.084 0.339
7 Pm 0.572 0.916 0.661
8 Pm 0.661 0.572 0.916
9 Pm 0.663 0.970 0.108
10 Pm 0.892 0.337 0.030
11 Pm 0.916 0.661 0.572
12 Pm 0.970 0.108 0.663
13 Th 0.000 0.000 0.000
14 Sn 0.224 0.660 0.345
15 Sn 0.340 0.655 0.776
16 Sn 0.345 0.224 0.660
17 Sn 0.655 0.776 0.340
18 Sn 0.660 0.345 0.224
19 Sn 0.776 0.340 0.655


Material: PmTh3Sn2
Method: DFT, GGA-PBE
State: optimized geometry

Computed properties:
Energy relative to the elements: 0.0032 eV per atom
Space-group type: R-3c, No. 167
Density of states at the Fermi level: 1.43 states/eV/atom
V: 34.3 A^3/atom
Magnetization: 0.00 μB/cell

a b c (Å): 8.622 8.622 8.622
angles (deg): 56.03 56.03 56.03
Atoms (fractional coordinates):
1 Pm 0.000 0.000 0.000
2 Pm 0.500 0.500 0.500
3 Th 0.032 0.750 0.468
4 Th 0.250 0.532 0.968
5 Th 0.468 0.032 0.750
6 Th 0.532 0.968 0.250
7 Th 0.750 0.468 0.032
8 Th 0.968 0.250 0.532
9 Sn 0.146 0.146 0.146
10 Sn 0.354 0.354 0.354
11 Sn 0.646 0.646 0.646
12 Sn 0.854 0.854 0.854


Material: Pm4Th3Sn4
Method: DFT, GGA-PBE
State: optimized geometry

Computed properties:
Energy relative to the elements: -0.4489 eV per atom
Space-group type: Immm, No. 71
Density of states at the Fermi level: 1.28 states/eV/atom
V: 31.4 A^3/atom
Magnetization: 0.00 μB/cell

a b c (Å): 10.380 10.380 10.380
angles (deg): 157.14 127.01 58.44
Atoms (fractional coordinates):
1 Pm 0.008 0.831 0.176
2 Pm 0.345 0.169 0.176
3 Pm 0.655 0.831 0.824
4 Pm 0.992 0.169 0.824
5 Th 0.000 0.500 0.500
6 Th 0.408 0.408 0.000
7 Th 0.592 0.592 0.000
8 Sn 0.272 0.772 0.500
9 Sn 0.281 0.000 0.281
10 Sn 0.719 0.000 0.719
11 Sn 0.728 0.228 0.500


Material: Pm5ThSn5
Method: DFT, GGA-PBE
State: optimized geometry

Computed properties:
Energy relative to the elements: -0.4729 eV per atom
Space-group type: C2/m, No. 12
Density of states at the Fermi level: 0.90 states/eV/atom
V: 34.5 A^3/atom
Magnetization: 0.73 μB/cell

a b c (Å): 7.874 7.874 8.712
angles (deg): 105.83 105.83 47.47
Atoms (fractional coordinates):
1 Pm 0.000 0.000 0.000
2 Pm 0.330 0.330 0.662
3 Pm 0.334 0.334 0.166
4 Pm 0.666 0.666 0.834
5 Pm 0.670 0.670 0.338
6 Th 0.000 0.000 0.500
7 Sn 0.165 0.165 0.326
8 Sn 0.166 0.166 0.837
9 Sn 0.500 0.500 0.500
10 Sn 0.834 0.834 0.163
11 Sn 0.835 0.835 0.674


Material: Pm4ThSn5
Method: DFT, GGA-PBE
State: optimized geometry

Computed properties:
Energy relative to the elements: -0.6405 eV per atom
Space-group type: P4/mmm, No. 123
Density of states at the Fermi level: 0.89 states/eV/atom
V: 28.2 A^3/atom
Magnetization: 0.01 μB/cell

a b c (Å): 3.523 3.523 22.698
angles (deg): 90.00 90.00 90.00
Atoms (fractional coordinates):
1 Pm 0.000 0.000 0.100
2 Pm 0.000 0.000 0.300
3 Pm 0.000 0.000 0.700
4 Pm 0.000 0.000 0.900
5 Th 0.000 0.000 0.500
6 Sn 0.500 0.500 0.000
7 Sn 0.500 0.500 0.200
8 Sn 0.500 0.500 0.399
9 Sn 0.500 0.500 0.601
10 Sn 0.500 0.500 0.800


Material: PmTh6Sn10
Method: DFT, GGA-PBE
State: optimized geometry

Computed properties:
Energy relative to the elements: -0.4805 eV per atom
Space-group type: P-31m, No. 162
Density of states at the Fermi level: 0.87 states/eV/atom
V: 29.4 A^3/atom
Magnetization: 0.00 μB/cell

a b c (Å): 9.564 9.564 6.308
angles (deg): 90.00 90.00 120.00
Atoms (fractional coordinates):
1 Pm 0.000 0.000 0.000
2 Th 0.000 0.385 0.760
3 Th 0.000 0.615 0.240
4 Th 0.385 0.000 0.760
5 Th 0.385 0.385 0.240
6 Th 0.615 0.000 0.240
7 Th 0.615 0.615 0.760
8 Sn 0.000 0.271 0.276
9 Sn 0.000 0.729 0.724
10 Sn 0.271 0.000 0.276
11 Sn 0.271 0.271 0.724
12 Sn 0.333 0.667 0.000
13 Sn 0.333 0.667 0.500
14 Sn 0.667 0.333 0.000
15 Sn 0.667 0.333 0.500
16 Sn 0.729 0.000 0.724
17 Sn 0.729 0.729 0.276


Material: PmTh2Sn2
Method: DFT, GGA-PBE
State: optimized geometry

Computed properties:
Energy relative to the elements: -0.1057 eV per atom
Space-group type: P6_3/mmc, No. 194
Density of states at the Fermi level: 0.85 states/eV/atom
V: 30.4 A^3/atom
Magnetization: 0.00 μB/cell

a b c (Å): 5.206 5.206 12.967
angles (deg): 90.00 90.00 120.00
Atoms (fractional coordinates):
1 Pm 0.000 0.000 0.250
2 Pm 0.000 0.000 0.750
3 Th 0.000 0.000 0.000
4 Th 0.000 0.000 0.500
5 Th 0.333 0.667 0.250
6 Th 0.667 0.333 0.750
7 Sn 0.333 0.667 0.621
8 Sn 0.333 0.667 0.879
9 Sn 0.667 0.333 0.121
10 Sn 0.667 0.333 0.379


Material: Pm8ThSn6
Method: DFT, GGA-PBE
State: optimized geometry

Computed properties:
Energy relative to the elements: -0.5366 eV per atom
Space-group type: R-3, No. 148
Density of states at the Fermi level: 0.69 states/eV/atom
V: 32.8 A^3/atom
Magnetization: 0.00 μB/cell

a b c (Å): 8.509 8.509 8.509
angles (deg): 66.04 66.04 66.04
Atoms (fractional coordinates):
1 Pm 0.064 0.393 0.726
2 Pm 0.167 0.167 0.167
3 Pm 0.274 0.936 0.607
4 Pm 0.393 0.726 0.064
5 Pm 0.607 0.274 0.936
6 Pm 0.726 0.064 0.393
7 Pm 0.833 0.833 0.833
8 Pm 0.936 0.607 0.274
9 Th 0.500 0.500 0.500
10 Sn 0.097 0.768 0.434
11 Sn 0.232 0.566 0.903
12 Sn 0.434 0.097 0.768
13 Sn 0.566 0.903 0.232
14 Sn 0.768 0.434 0.097
15 Sn 0.903 0.232 0.566


Material: PmThSn2
Method: DFT, GGA-PBE
State: optimized geometry

Computed properties:
Energy relative to the elements: -0.5901 eV per atom
Space-group type: P4/mmm, No. 123
Density of states at the Fermi level: 0.76 states/eV/atom
V: 28.3 A^3/atom
Magnetization: 0.00 μB/cell

a b c (Å): 3.540 3.540 9.046
angles (deg): 90.00 90.00 90.00
Atoms (fractional coordinates):
1 Pm 0.000 0.000 0.000
2 Th 0.000 0.000 0.500
3 Sn 0.500 0.500 0.248
4 Sn 0.500 0.500 0.752


Material: PmThSn2
Method: DFT, GGA-PBE
State: optimized geometry

Computed properties:
Energy relative to the elements: -0.6607 eV per atom
Space-group type: Amm2, No. 38
Density of states at the Fermi level: 0.64 states/eV/atom
V: 30.0 A^3/atom
Magnetization: 0.00 μB/cell

a b c (Å): 4.490 6.296 6.296
angles (deg): 42.33 90.00 90.00
Atoms (fractional coordinates):
1 Pm 0.000 0.000 0.000
2 Th 0.500 0.272 0.272
3 Sn 0.000 0.729 0.729
4 Sn 0.500 0.544 0.544


Material: Pm2ThSn2
Method: DFT, GGA-PBE
State: optimized geometry

Computed properties:
Energy relative to the elements: -0.3645 eV per atom
Space-group type: P6_3/mmc, No. 194
Density of states at the Fermi level: 1.18 states/eV/atom
V: 30.6 A^3/atom
Magnetization: 0.00 μB/cell

a b c (Å): 5.182 5.182 13.158
angles (deg): 90.00 90.00 120.00
Atoms (fractional coordinates):
1 Pm 0.333 0.667 0.058
2 Pm 0.333 0.667 0.442
3 Pm 0.667 0.333 0.558
4 Pm 0.667 0.333 0.942
5 Th 0.333 0.667 0.750
6 Th 0.667 0.333 0.250
7 Sn 0.000 0.000 0.129
8 Sn 0.000 0.000 0.371
9 Sn 0.000 0.000 0.629
10 Sn 0.000 0.000 0.871


Material: PmTh5Sn5
Method: DFT, GGA-PBE
State: optimized geometry

Computed properties:
Energy relative to the elements: -0.3150 eV per atom
Space-group type: C2/m, No. 12
Density of states at the Fermi level: 0.65 states/eV/atom
V: 34.4 A^3/atom
Magnetization: 0.00 μB/cell

a b c (Å): 7.711 7.711 8.960
angles (deg): 106.99 106.99 48.53
Atoms (fractional coordinates):
1 Pm 0.000 0.000 0.000
2 Th 0.000 0.000 0.500
3 Th 0.336 0.336 0.664
4 Th 0.338 0.338 0.174
5 Th 0.662 0.662 0.826
6 Th 0.664 0.664 0.336
7 Sn 0.166 0.166 0.333
8 Sn 0.170 0.170 0.835
9 Sn 0.500 0.500 0.000
10 Sn 0.830 0.830 0.165
11 Sn 0.834 0.834 0.667